Computed, not measured: SrY2Ru after structural relaxation at the PBE-GGA level of DFT.

Properties
Calculated total energy   -5.493 eV per atom
Magnetization   0.00 μB per cell
Calculated volume   371.5 Å³ per cell
Offset from the most stable computed form   635 meV/atom

The structure in extended XYZ format:
```
8
Lattice="8.0701 0.0000 0.0000 0.0000 8.0701 0.0000 4.0350 4.0350 5.7042" Properties=species:S:1:pos:R:3 pbc="T T T"
Y 7.9511 2.0175 1.4260
Y 8.1891 6.0526 1.4260
Y 6.0526 4.1541 4.2781
Y 10.0876 3.9160 4.2781
Ru 0.0000 0.0000 0.0000
Ru 8.0701 4.0350 2.8521
Sr 4.0350 4.0350 0.0000
Sr 4.0350 8.0701 2.8521
```

***

Computed, not measured: RbAl3Cd after structural relaxation at the PBE-GGA level of DFT.

Properties
Calculated total energy   -2.024 eV per atom
Magnetization   0.00 μB per cell
Calculated volume   156.6 Å³ per cell
Offset from the most stable computed form   0 meV/atom

The structure in extended XYZ format:
```
5
Lattice="5.3905 0.0000 0.0000 0.0000 5.3905 0.0000 0.0000 0.0000 5.3905" Properties=species:S:1:pos:R:3 pbc="T T T"
Al 0.0000 2.6953 0.0000
Al 0.0000 0.0000 2.6953
Al 2.6953 0.0000 0.0000
Rb 2.6953 2.6953 2.6953
Cd 0.0000 0.0000 0.0000
```